[1]
Compound: BRhS2O
Source: Alexandria via LeMat-Bulk
Functional: PBE
Structure: optimized geometry

The formation energy (no corrections) is 1059 meV/atom. The calculation puts the size of the total moment at 1.6 μB/cell. The value obtained for the theoretical density is 4.79 Mg/m³. As for the density of states at the Fermi level: 4.7 states/eV per cell.

The structure belongs to space group P4/mmm (No. 123); the cell edges are 3.967, 3.967 and 4.266 Å and the angles 90.00°, 90.00° and 90.00°. The distinct sites, in fractional coordinates, are B at (0.000, 0.000, 0.000), Rh at (0.000, 0.000, 0.500), S at (0.000, 0.500, 0.000) and O at (0.500, 0.500, 0.500).

---

[2]
Compound: BSb2RhO
Source: Alexandria via LeMat-Bulk
Functional: PBE
Structure: optimized geometry

The formation energy (no corrections) is 772 meV/atom. The calculation puts the size of the total moment at 0.0 μB/cell. The value obtained for the theoretical density is 6.96 Mg/m³. As for the density of states at the Fermi level: 1.9 states/eV per cell.

The structure belongs to space group P4/mmm (No. 123); the cell edges are 4.685, 4.685 and 4.055 Å and the angles 90.00°, 90.00° and 90.00°. The distinct sites, in fractional coordinates, are B at (0.000, 0.000, 0.000), Sb at (0.000, 0.500, 0.500), Rh at (0.500, 0.500, 0.000) and O at (0.500, 0.500, 0.500).

---

[3]
Compound: SnBRhO5
Source: Alexandria via LeMat-Bulk
Functional: PBE
Structure: optimized geometry

The formation energy (no corrections) is -1301 meV/atom. The calculation puts the size of the total moment at 0.0 μB/cell. The value obtained for the theoretical density is 5.92 Mg/m³.

The structure belongs to space group C2/c (No. 15); the cell edges are 6.251, 8.001 and 7.659 Å and the angles 90.00°, 113.83° and 90.00°. The distinct sites, in fractional coordinates, are Sn at (0.250, 0.250, 0.000), B at (0.000, 0.063, 0.250), Rh at (0.000, 0.404, 0.250), O at (0.000, 0.355, 0.750), O at (0.005, 0.187, 0.398) and O at (0.211, 0.048, 0.822).

---

What is the formula in the second record? BSb2RhO